[1]
Below is an optimized crystal structure of Pr4YTm7, with properties calculated at the PBE-GGA level.

Geometry as POSCAR:
```
Pr4YTm7
1.0
6.063 -2.943 0.000
6.063 2.943 0.000
-6.052 0.000 11.295
Pr Y Tm
4 1 7
Direct
0.139 0.139 0.278 Pr
0.281 0.281 0.837 Pr
0.719 0.719 0.163 Pr
0.861 0.861 0.722 Pr
0.500 0.500 0.500 Y
0.000 0.000 0.500 Tm
0.132 0.132 0.994 Tm
0.287 0.287 0.576 Tm
0.430 0.430 0.190 Tm
0.570 0.570 0.810 Tm
0.713 0.713 0.424 Tm
0.868 0.868 0.006 Tm
```

Values from the calculation:
Excess energy over the best structure of this formula in the dataset in eV per formula unit: 2.90
V in Å³ per cell: 403.1
DOS at the Fermi energy in states/eV/f.u.: 19.37
SG: C2/m, No. 12
DFT total energy in eV per formula unit: -53.7
Calculated formation energy in eV per atom: 0.27

[2]
Below is an optimized crystal structure of Pr3Y12Tm, with properties calculated at the PBE-GGA level.

Geometry as POSCAR:
```
Pr3Y12Tm
1.0
5.082 0.000 0.000
0.000 5.082 0.000
0.000 0.000 20.332
Pr Y Tm
3 12 1
Direct
0.000 0.000 0.000 Pr
0.000 0.000 0.251 Pr
0.000 0.000 0.749 Pr
0.000 0.500 0.126 Y
0.000 0.500 0.378 Y
0.000 0.500 0.622 Y
0.000 0.500 0.874 Y
0.500 0.000 0.126 Y
0.500 0.000 0.378 Y
0.500 0.000 0.622 Y
0.500 0.000 0.874 Y
0.500 0.500 0.000 Y
0.500 0.500 0.252 Y
0.500 0.500 0.500 Y
0.500 0.500 0.748 Y
0.000 0.000 0.500 Tm
```

Values from the calculation:
V in Å³ per cell: 525.1
DOS at the Fermi energy in states/eV/f.u.: 24.19
SG: P4/mmm, No. 123
DFT total energy in eV per formula unit: -96.0
Calculated formation energy in eV per atom: 0.02

[3]
Below is an optimized crystal structure of Pr5Y2Tm3, with properties calculated at the PBE-GGA level.

Geometry as POSCAR:
```
Pr5Y2Tm3
1.0
5.367 -7.405 0.000
5.367 7.405 0.000
-5.366 0.000 8.629
Pr Y Tm
10 4 6
Direct
0.019 0.981 0.750 Pr
0.132 0.372 0.752 Pr
0.230 0.770 0.750 Pr
0.270 0.730 0.250 Pr
0.372 0.132 0.252 Pr
0.628 0.868 0.748 Pr
0.730 0.270 0.750 Pr
0.770 0.230 0.250 Pr
0.868 0.628 0.248 Pr
0.981 0.019 0.250 Pr
0.225 0.467 0.441 Y
0.467 0.225 0.941 Y
0.533 0.775 0.059 Y
0.775 0.533 0.559 Y
0.032 0.280 0.060 Tm
0.280 0.032 0.560 Tm
0.478 0.522 0.250 Tm
0.522 0.478 0.750 Tm
0.720 0.968 0.440 Tm
0.968 0.720 0.940 Tm
```

Values from the calculation:
V in Å³ per cell: 685.9
DOS at the Fermi energy in states/eV/f.u.: 17.12
SG: C2/c, No. 15
DFT total energy in eV per formula unit: -48.5
Calculated formation energy in eV per atom: 0.17

[4]
Below is an optimized crystal structure of PrY5Tm3, with properties calculated at the PBE-GGA level.

Geometry as POSCAR:
```
PrY5Tm3
1.0
-4.205 4.205 8.178
4.205 -4.205 8.178
4.205 4.205 -8.178
Pr Y Tm
2 10 6
Direct
0.250 0.750 0.500 Pr
0.750 0.250 0.500 Pr
0.000 0.000 0.000 Y
0.063 0.563 0.897 Y
0.166 0.063 0.500 Y
0.334 0.834 0.897 Y
0.437 0.334 0.500 Y
0.500 0.500 0.000 Y
0.563 0.666 0.500 Y
0.666 0.166 0.103 Y
0.834 0.937 0.500 Y
0.937 0.437 0.103 Y
0.122 0.378 0.500 Tm
0.250 0.250 0.000 Tm
0.378 0.878 0.256 Tm
0.622 0.122 0.744 Tm
0.750 0.750 0.000 Tm
0.878 0.622 0.500 Tm
```

Values from the calculation:
V in Å³ per cell: 578.4
DOS at the Fermi energy in states/eV/f.u.: 11.33
SG: I4/mcm, No. 140
DFT total energy in eV per formula unit: -48.0
Calculated formation energy in eV per atom: 0.28

[5]
Below is an optimized crystal structure of Pr6YTm4, with properties calculated at the PBE-GGA level.

Geometry as POSCAR:
```
Pr6YTm4
1.0
-3.296 3.296 8.838
3.296 -3.296 8.838
3.296 3.296 -8.838
Pr Y Tm
6 1 4
Direct
0.000 0.500 0.500 Pr
0.183 0.183 0.643 Pr
0.461 0.817 0.000 Pr
0.500 0.000 0.500 Pr
0.539 0.539 0.357 Pr
0.817 0.461 0.000 Pr
0.000 0.000 0.000 Y
0.010 0.645 0.000 Tm
0.355 0.355 0.366 Tm
0.645 0.010 0.000 Tm
0.990 0.990 0.634 Tm
```

Values from the calculation:
Excess energy over the best structure of this formula in the dataset in eV per formula unit: 0.00
V in Å³ per cell: 384.0
DOS at the Fermi energy in states/eV/f.u.: 15.25
SG: I-42m, No. 121
DFT total energy in eV per formula unit: -49.9
Calculated formation energy in eV per atom: 0.28

[6]
Below is an optimized crystal structure of Pr3Y6Tm2, with properties calculated at the PBE-GGA level.

Geometry as POSCAR:
```
Pr3Y6Tm2
1.0
1.801 1.040 32.098
-1.801 1.040 32.098
0.000 -2.079 32.098
Pr Y Tm
3 6 2
Direct
0.000 0.000 0.000 Pr
0.272 0.272 0.272 Pr
0.728 0.728 0.728 Pr
0.092 0.092 0.092 Y
0.182 0.182 0.182 Y
0.364 0.364 0.364 Y
0.636 0.636 0.636 Y
0.818 0.818 0.818 Y
0.908 0.908 0.908 Y
0.455 0.455 0.455 Tm
0.545 0.545 0.545 Tm
```

Values from the calculation:
V in Å³ per cell: 360.6
DOS at the Fermi energy in states/eV/f.u.: 14.89
SG: R-3m, No. 166
DFT total energy in eV per formula unit: -61.8
Calculated formation energy in eV per atom: 0.02

[7]
Below is an optimized crystal structure of PrY4Tm6, with properties calculated at the PBE-GGA level.

Geometry as POSCAR:
```
PrY4Tm6
1.0
-3.274 3.274 8.478
3.274 -3.274 8.478
3.274 3.274 -8.478
Pr Y Tm
1 4 6
Direct
0.000 0.000 0.000 Pr
0.013 0.638 0.000 Y
0.362 0.362 0.375 Y
0.638 0.013 0.000 Y
0.987 0.987 0.625 Y
0.000 0.500 0.500 Tm
0.193 0.193 0.643 Tm
0.450 0.807 0.000 Tm
0.500 0.000 0.500 Tm
0.550 0.550 0.357 Tm
0.807 0.450 0.000 Tm
```

Values from the calculation:
Excess energy over the best structure of this formula in the dataset in eV per formula unit: 0.00
V in Å³ per cell: 363.5
DOS at the Fermi energy in states/eV/f.u.: 15.52
SG: I-42m, No. 121
DFT total energy in eV per formula unit: -54.0
Calculated formation energy in eV per atom: 0.32

[8]
Below is an optimized crystal structure of Pr3Y8Tm2, with properties calculated at the PBE-GGA level.

Geometry as POSCAR:
```
Pr3Y8Tm2
1.0
8.176 0.000 0.000
0.000 5.296 0.000
-2.698 0.000 10.196
Pr Y Tm
3 8 2
Direct
0.000 0.000 0.000 Pr
0.275 0.500 0.931 Pr
0.725 0.500 0.069 Pr
0.108 0.000 0.676 Y
0.161 0.500 0.238 Y
0.380 0.500 0.614 Y
0.461 0.000 0.150 Y
0.539 0.000 0.850 Y
0.620 0.500 0.386 Y
0.839 0.500 0.762 Y
0.892 0.000 0.324 Y
0.323 0.000 0.409 Tm
0.677 0.000 0.591 Tm
```

Values from the calculation:
Excess energy over the best structure of this formula in the dataset in eV per formula unit: 0.50
V in Å³ per cell: 441.5
DOS at the Fermi energy in states/eV/f.u.: 20.80
SG: P2/m, No. 10
DFT total energy in eV per formula unit: -73.1
Calculated formation energy in eV per atom: 0.15